The following is a PBE calculation of a geometry-optimized Tb8Pm6Y structure, from Alexandria.

Computed properties:
Relative energy among the computed polymorphs in meV per atom: 56
Theoretical density in g cm⁻³: 7.350
Formation energy from the elements in eV per atom: 0.176

Cell: 9.4237 9.4237 6.5520 Å, 90.00 90.00 120.00°
Closest atoms and distances in Å follow each position.
Space group P-3 (No. 147)
Symmetry-distinct sites (fractional):
Tb 0.0917 0.4369 0.1588 (multiplicity 6)  1 Tb 3.28, 4 Pm 3.29-3.54
Tb 0.3333 0.6667 0.6188 (multiplicity 2)  3 Pm 3.29
Pm 0.0322 0.2863 0.6637 (multiplicity 6)  5 Tb 3.29-3.54, 2 Pm 3.34, 1 Y 3.38
Y 0.0000 0.0000 0.0000 (multiplicity 1)  6 Pm 3.38



The following is a PBE calculation of a geometry-optimized Ba2PrAg structure, from Alexandria.

Computed properties:
Relative energy among the computed polymorphs in meV per atom: 235
Theoretical density in g cm⁻³: 5.000
Formation energy from the elements in eV per atom: 0.254

Cell: 4.0225 4.0225 37.2195 Å, 90.00 90.00 120.00°
Closest atoms and distances in Å follow each position.
Space group R-3m (No. 166, hexagonal axes)
Symmetry-distinct sites (fractional):
Ba 0.0000 0.0000 0.1016 (multiplicity 6)  3 Ag 3.36
Pr 0.0000 0.0000 0.0000 (multiplicity 3)  2 Ba 3.78, 6 Pr 4.02
Ag 0.0000 0.0000 0.5000 (multiplicity 3)  6 Ba 3.36



The following is a PBE calculation of a geometry-optimized CeNbCu structure, from Alexandria.

Computed properties:
Theoretical density in g cm⁻³: 7.563
Formation energy from the elements in eV per atom: 0.638

Cell: 6.2227 12.2087 13.7130 Å, 90.00 90.00 90.00°
Closest atoms and distances in Å follow each position.
Space group Fddd (No. 70, origin choice 2)
Symmetry-distinct sites (fractional):
Ce 0.0956 0.3750 0.3750 (multiplicity 16)  2 Nb 2.49, 1 Ce 2.75
Nb 0.0000 0.0000 0.5000 (multiplicity 16)  2 Ce 2.49
Cu 0.1250 0.1250 0.3368 (multiplicity 16)  4 Nb 2.82-3.03, 2 Ce 3.10



The following is a PBE calculation of a geometry-optimized Er8SiTe4S3 structure, from Alexandria.

Computed properties:
Theoretical density in g cm⁻³: 8.238
ΔE_f (raw) in eV per atom: -1.50

Cell: 8.1261 8.1261 20.8595 Å, 90.00 90.00 120.00°
Closest atoms and distances in Å follow each position.
Space group R-3m (No. 166, hexagonal axes)
Symmetry-distinct sites (fractional):
Er 0.0000 0.0000 0.2347 (multiplicity 6)  3 S 2.74
Er 0.0008 0.5004 0.2360 (multiplicity 18)  1 Si 2.75, 2 S 2.76
Si 0.0000 0.0000 0.5000 (multiplicity 3)  6 Er 2.75
Te 0.0000 0.0000 0.0000 (multiplicity 3)  6 Er 3.11
Te 0.0000 0.5000 0.0000 (multiplicity 9)  6 Er 3.10-3.12
S 0.0000 0.5000 0.5000 (multiplicity 9)  6 Er 2.74-2.76



The following is a PBE calculation of a geometry-optimized AcErPt structure, from Alexandria.

Computed properties:
Relative energy among the computed polymorphs in meV per atom: 111
Theoretical density in g cm⁻³: 9.658
Formation energy from the elements in eV per atom: -0.772

Cell: 4.2662 4.2662 6.4284 Å, 90.00 90.00 120.00°
Closest atoms and distances in Å follow each position.
Space group P3m1 (No. 156)
Symmetry-distinct sites (fractional):
Ac 0.0000 0.0000 0.0000 (multiplicity 1)  3 Pt 3.05
Er 0.6667 0.3333 0.4844 (multiplicity 1)  3 Pt 2.79
Pt 0.3333 0.6667 0.2805 (multiplicity 1)  3 Er 2.79, 3 Ac 3.05



The following is a PBE calculation of a geometry-optimized LiCaHg2Pd structure, from Alexandria.

Computed properties:
Theoretical density in g cm⁻³: 7.257
Formation energy from the elements in eV per atom: -0.243

Cell: 5.2769 5.2769 4.5575 Å, 90.00 90.00 90.00°
Closest atoms and distances in Å follow each position.
Space group P4/mmm (No. 123)
Symmetry-distinct sites (fractional):
Li 0.0000 0.0000 0.0000 (multiplicity 1)  2 Pd 2.28
Ca 0.5000 0.5000 0.0000 (multiplicity 1)  8 Hg 3.49, 4 Li 3.73
Hg 0.0000 0.5000 0.5000 (multiplicity 2)  2 Pd 2.64
Pd 0.0000 0.0000 0.5000 (multiplicity 1)  2 Li 2.28



The following is a PBE calculation of a geometry-optimized LaCu4Pd3O12 structure, from Alexandria.

Computed properties:
Theoretical density in g cm⁻³: 7.055
ΔE_f (raw) in eV per atom: -0.77

Cell: 7.5226 7.5226 7.5226 Å, 90.00 90.00 90.00°
Closest atoms and distances in Å follow each position.
Space group Im-3 (No. 204)
Symmetry-distinct sites (fractional):
La 0.0000 0.0000 0.0000 (multiplicity 2)  12 O 2.65
Cu 0.2500 0.2500 0.2500 (multiplicity 8)  6 O 2.00
Pd 0.0000 0.0000 0.5000 (multiplicity 6)  4 O 2.00
O 0.0000 0.3038 0.1796 (multiplicity 24)  2 Cu 2.00, 1 Pd 2.00



The following is a PBE calculation of a geometry-optimized Tb2CeHf3N6 structure, from Alexandria.

Computed properties:
Theoretical density in g cm⁻³: 11.217
ΔE_f (raw) in eV per atom: -1.74

Cell: 14.6957 3.3182 6.7612 Å, 90.00 104.62 90.00°
Closest atoms and distances in Å follow each position.
Space group C2/m (No. 12)
Symmetry-distinct sites (fractional):
Tb 0.1671 0.0000 0.3338 (multiplicity 4)  6 N 2.45-2.48
Ce 0.0000 0.5000 0.0000 (multiplicity 2)  6 N 2.49
Hf 0.0000 0.5000 0.5000 (multiplicity 2)  6 N 2.26-2.29
Hf 0.1677 0.0000 0.8329 (multiplicity 4)  6 N 2.25-2.29
N 0.0065 0.0000 0.7302 (multiplicity 4)  3 Hf 2.26-2.29, 1 Tb 2.48, 2 Ce 2.49
N 0.1613 0.5000 0.5988 (multiplicity 4)  3 Hf 2.28-2.29, 3 Tb 2.45-2.46
N 0.1745 0.5000 0.0685 (multiplicity 4)  3 Hf 2.25-2.28, 2 Tb 2.47, 1 Ce 2.49



The following is a PBE calculation of a geometry-optimized Ba3CuSn2O9 structure, from Alexandria.

Computed properties:
Theoretical density in g cm⁻³: 6.687
ΔE_f (raw) in eV per atom: -1.81

Cell: 5.8472 5.8472 7.1869 Å, 90.00 90.00 120.00°
Closest atoms and distances in Å follow each position.
Space group P-3m1 (No. 164)
Symmetry-distinct sites (fractional):
Ba 0.0000 0.0000 0.0000 (multiplicity 1)  12 O 2.92-2.94
Ba 0.3333 0.6667 0.6575 (multiplicity 2)  12 O 2.86-2.98
Cu 0.0000 0.0000 0.5000 (multiplicity 1)  6 O 2.03
Sn 0.3333 0.6667 0.1689 (multiplicity 2)  6 O 2.08-2.10
O 0.0000 0.5000 0.0000 (multiplicity 3)  2 Sn 2.08
O 0.1645 0.3290 0.3378 (multiplicity 6)  1 Cu 2.03, 1 Sn 2.10



The following is a PBE calculation of a geometry-optimized KU2Br8 structure, from Alexandria.

Computed properties:
Relative energy among the computed polymorphs in meV per atom: 0
Theoretical density in g cm⁻³: 5.496
ΔE_f (raw) in eV per atom: -1.36

Cell: 9.0977 13.3926 5.8239 Å, 90.00 100.55 90.00°
Closest atoms and distances in Å follow each position.
Space group C2/m (No. 12)
Symmetry-distinct sites (fractional):
K 0.0000 0.0000 0.0000 (multiplicity 2)  8 Br 3.44-3.74
U 0.0000 0.3192 0.5000 (multiplicity 4)  8 Br 2.97-3.03
Br 0.0000 0.2571 0.0000 (multiplicity 4)  2 U 3.03
Br 0.0995 0.5000 0.7804 (multiplicity 4)  2 U 2.97
Br 0.1920 0.1358 0.5768 (multiplicity 8)  2 U 2.98-3.00



The following is a PBE calculation of a geometry-optimized Cs2KBi structure, from Alexandria.

Computed properties:
Theoretical density in g cm⁻³: 4.107
Formation energy from the elements in eV per atom: -0.263

Cell: 9.4019 9.4019 9.4019 Å, 90.00 90.00 90.00°
Closest atoms and distances in Å follow each position.
Space group Fm-3m (No. 225)
Symmetry-distinct sites (fractional):
Cs 0.2500 0.2500 0.2500 (multiplicity 8)  4 Bi 4.07, 4 K 4.07
K 0.0000 0.0000 0.0000 (multiplicity 4)  8 Cs 4.07
Bi 0.0000 0.0000 0.5000 (multiplicity 4)  8 Cs 4.07



The following is a PBE calculation of a geometry-optimized BaSi3P structure, from Alexandria.

Computed properties:
Relative energy among the computed polymorphs in meV per atom: 1878
Theoretical density in g cm⁻³: 2.278
ΔE_f (raw) in eV per atom: 2.23

Cell: 5.6892 5.6892 5.6892 Å, 90.00 90.00 90.00°
Closest atoms and distances in Å follow each position.
Space group Pm-3m (No. 221)
Symmetry-distinct sites (fractional):
Ba 0.0000 0.0000 0.0000 (multiplicity 1)  6 Si 2.84
Si 0.0000 0.0000 0.5000 (multiplicity 3)  2 Ba 2.84
P 0.5000 0.5000 0.5000 (multiplicity 1)  12 Si 4.02



Number 1: D(E_F) 21.876 states/eV/cell, electronic total energy -69.4 eV for the cell shown, size of the total moment 0.00 μB per atom. Number 2: D(E_F) 18.668 states/eV/cell, electronic total energy -31.4 eV for the cell shown, size of the total moment 0.19 μB per atom. Number 3: D(E_F) 79.077 states/eV/cell, electronic total energy -291.0 eV for the cell shown, size of the total moment 0.00 μB per atom. Number 4: D(E_F) 14.342 states/eV/cell, electronic total energy -272.6 eV for the cell shown, size of the total moment 0.00 μB per atom. Number 5: D(E_F) 2.835 states/eV/cell, electronic total energy -17.0 eV for the cell shown, size of the total moment 0.00 μB per atom. Number 6: D(E_F) 2.337 states/eV/cell, electronic total energy -10.9 eV for the cell shown, size of the total moment 0.00 μB per atom. Number 7: D(E_F) 29.231 states/eV/cell, electronic total energy -223.4 eV for the cell shown, size of the total moment 0.00 μB per atom. Number 8: D(E_F) 9.563 states/eV/cell, electronic total energy -231.8 eV for the cell shown, size of the total moment 0.00 μB per atom. Number 9: D(E_F) 10.141 states/eV/cell, electronic total energy -89.7 eV for the cell shown, size of the total moment 0.00 μB per atom. Number 10: D(E_F) 34.194 states/eV/cell, electronic total energy -104.0 eV for the cell shown, size of the total moment 0.45 μB per atom. Number 11: D(E_F) 6.864 states/eV/cell, electronic total energy -31.0 eV for the cell shown, size of the total moment 0.00 μB per atom. Number 12: D(E_F) 6.466 states/eV/cell, electronic total energy -12.5 eV for the cell shown, size of the total moment 0.00 μB per atom.